First-principles (PBE) data for a relaxed structure of GaAs2SeN, as listed in Alexandria.

## Properties
Relative energy among the computed polymorphs ... 0.836 eV/atom
Final energy ... -16.180 eV for the cell shown
Space group ... P4/mmm

Lattice parameters (Å, degrees): 4.9566 4.9566 5.0235 90.00 90.00 90.00
Fractional positions:
As (0.0000, 0.5000, 0.0000)
As (0.5000, 0.0000, 0.0000)
Ga (0.0000, 0.0000, 0.0000)
Se (0.0000, 0.0000, 0.5000)
N (0.5000, 0.5000, 0.5000)

---

First-principles (PBE) data for a relaxed structure of GaTe2AsN, as listed in Alexandria.

## Properties
Relative energy among the computed polymorphs ... 0.064 eV/atom
Final energy ... -18.531 eV for the cell shown
Space group ... P4/mmm

Lattice parameters (Å, degrees): 5.6798 5.6798 3.5347 90.00 90.00 90.00
Fractional positions:
As (0.5000, 0.5000, 0.5000)
Te (0.0000, 0.5000, 0.0000)
Te (0.5000, 0.0000, 0.0000)
Ga (0.0000, 0.0000, 0.0000)
N (0.0000, 0.0000, 0.5000)

---

First-principles (PBE) data for a relaxed structure of GaTe2AsN, as listed in Alexandria.

## Properties
Relative energy among the computed polymorphs ... 0.000 eV/atom
Final energy ... -18.854 eV for the cell shown
Space group ... P4/mmm

Lattice parameters (Å, degrees): 5.9752 5.9752 3.5484 90.00 90.00 90.00
Fractional positions:
As (0.0000, 0.0000, 0.0000)
Te (0.0000, 0.5000, 0.0000)
Te (0.5000, 0.0000, 0.0000)
Ga (0.5000, 0.5000, 0.5000)
N (0.0000, 0.0000, 0.5000)

---

First-principles (PBE) data for a relaxed structure of NaGa2As, as listed in Alexandria.

## Properties
Final energy ... -25.149 eV for the cell shown
Formation energy from the elements ... -0.138 eV/atom
Space group ... I-42d

Lattice parameters (Å, degrees): 8.1375 8.1375 6.3717 50.31 50.31 90.00
Fractional positions:
Na (0.5000, 0.5000, 0.0000)
Na (0.2500, 0.7500, 0.5000)
As (0.0000, 0.0000, 0.0000)
As (0.7500, 0.2500, 0.5000)
Ga (0.6871, 0.1250, 0.2500)
Ga (0.0629, 0.6250, 0.2500)
Ga (0.3750, 0.3129, 0.7500)
Ga (0.8750, 0.9371, 0.7500)

---

First-principles (PBE) data for a relaxed structure of Na2GaAs, as listed in Alexandria.

## Properties
Relative energy among the computed polymorphs ... 0.000 eV/atom
Final energy ... -11.036 eV for the cell shown
Formation energy from the elements ... -0.180 eV/atom
Space group ... Fm-3m

Lattice parameters (Å, degrees): 5.0060 5.0060 5.0060 60.00 60.00 60.00
Fractional positions:
Na (0.2500, 0.2500, 0.2500)
Na (0.7500, 0.7500, 0.7500)
As (0.5000, 0.5000, 0.5000)
Ga (0.0000, 0.0000, 0.0000)

---

First-principles (PBE) data for a relaxed structure of Na2GaAs2, as listed in Alexandria.

## Properties
Relative energy among the computed polymorphs ... 0.287 eV/atom
Final energy ... -15.369 eV for the cell shown
Formation energy from the elements ... -0.081 eV/atom
Space group ... I4/mmm

Lattice parameters (Å, degrees): 4.6695 4.6695 6.7484 69.76 69.76 90.00
Fractional positions:
Na (0.7500, 0.2500, 0.5000)
Na (0.2500, 0.7500, 0.5000)
As (0.4017, 0.4017, 0.1966)
As (0.5983, 0.5983, 0.8034)
Ga (0.0000, 0.0000, 0.0000)

---

First-principles (PBE) data for a relaxed structure of Na2Ga2As3, as listed in Alexandria.

## Properties
Relative energy among the computed polymorphs ... 0.000 eV/atom
Final energy ... -204.348 eV for the cell shown
Formation energy from the elements ... -0.415 eV/atom
Space group ... P2_1/c

Lattice parameters (Å, degrees): 6.7851 13.3221 14.5612 90.28 90.00 90.00
Fractional positions:
Na (0.9534, 0.1403, 0.0114)
Na (0.4534, 0.8597, 0.4886)
Na (0.0466, 0.8597, 0.9886)
Na (0.5466, 0.1403, 0.5114)
Na (0.5798, 0.6529, 0.9777)
Na (0.0798, 0.3471, 0.5223)
Na (0.4202, 0.3471, 0.0223)
Na (0.9202, 0.6529, 0.4777)
Na (0.5433, 0.9151, 0.8898)
Na (0.0433, 0.0849, 0.6102)
Na (0.4567, 0.0849, 0.1102)
Na (0.9567, 0.9151, 0.3898)
Na (0.9105, 0.4342, 0.0892)
Na (0.4105, 0.5658, 0.4108)
Na (0.0895, 0.5658, 0.9108)
Na (0.5895, 0.4342, 0.5892)
Ga (0.2833, 0.6824, 0.1600)
Ga (0.7833, 0.3176, 0.3400)
Ga (0.7167, 0.3176, 0.8400)
Ga (0.2167, 0.6824, 0.6600)
Ga (0.7893, 0.0905, 0.2716)
Ga (0.2893, 0.9095, 0.2284)
Ga (0.2107, 0.9095, 0.7284)
Ga (0.7107, 0.0905, 0.7716)
Ga (0.7618, 0.8137, 0.1687)
Ga (0.2618, 0.1863, 0.3313)
Ga (0.2382, 0.1863, 0.8313)
Ga (0.7382, 0.8137, 0.6687)
Ga (0.7632, 0.5870, 0.2409)
Ga (0.2632, 0.4130, 0.2591)
Ga (0.2368, 0.4130, 0.7591)
Ga (0.7368, 0.5870, 0.7409)
As (0.9661, 0.9702, 0.1679)
As (0.4661, 0.0298, 0.3321)
As (0.0339, 0.0298, 0.8321)
As (0.5339, 0.9702, 0.6679)
As (0.4491, 0.8401, 0.0841)
As (0.9491, 0.1599, 0.4159)
As (0.5509, 0.1599, 0.9159)
As (0.0509, 0.8401, 0.5841)
As (0.9441, 0.6598, 0.1018)
As (0.4441, 0.3402, 0.3982)
As (0.0559, 0.3402, 0.8982)
As (0.5559, 0.6598, 0.6018)
As (0.8356, 0.7483, 0.8265)
As (0.3356, 0.2517, 0.6735)
As (0.1644, 0.2517, 0.1735)
As (0.6644, 0.7483, 0.3265)
As (0.4711, 0.5197, 0.1547)
As (0.9711, 0.4803, 0.3453)
As (0.5289, 0.4803, 0.8453)
As (0.0289, 0.5197, 0.6547)
As (0.2057, 0.7496, 0.8209)
As (0.7057, 0.2504, 0.6791)
As (0.7943, 0.2504, 0.1791)
As (0.2943, 0.7496, 0.3209)

---

First-principles (PBE) data for a relaxed structure of Na2Ga2As, as listed in Alexandria.

## Properties
Final energy ... -28.161 eV for the cell shown
Formation energy from the elements ... -0.148 eV/atom
Space group ... P4/mbm

Lattice parameters (Å, degrees): 6.9311 6.9311 4.8623 90.00 90.00 90.00
Fractional positions:
Na (0.1772, 0.6772, 0.5000)
Na (0.6772, 0.8228, 0.5000)
Na (0.8228, 0.3228, 0.5000)
Na (0.3228, 0.1772, 0.5000)
As (0.0000, 0.0000, 0.0000)
As (0.5000, 0.5000, 0.0000)
Ga (0.3685, 0.8685, 0.0000)
Ga (0.8685, 0.6315, 0.0000)
Ga (0.6315, 0.1315, 0.0000)
Ga (0.1315, 0.3685, 0.0000)

---

First-principles (PBE) data for a relaxed structure of NaGaAs, as listed in Alexandria.

## Properties
Relative energy among the computed polymorphs ... 0.009 eV/atom
Final energy ... -19.362 eV for the cell shown
Formation energy from the elements ... -0.229 eV/atom
Space group ... Cmcm

Lattice parameters (Å, degrees): 3.2216 4.7611 9.2731 90.00 100.00 90.00
Fractional positions:
Na (0.6821, 0.7500, 0.3641)
Na (0.3179, 0.2500, 0.6359)
Ga (0.5347, 0.2500, 0.0694)
Ga (0.4653, 0.7500, 0.9306)
As (0.8546, 0.7500, 0.7092)
As (0.1454, 0.2500, 0.2908)

---

First-principles (PBE) data for a relaxed structure of NaGaAs3, as listed in Alexandria.

## Properties
Relative energy among the computed polymorphs ... 0.567 eV/atom
Final energy ... -13.577 eV for the cell shown
Formation energy from the elements ... 0.944 eV/atom
Space group ... Pm-3m

Lattice parameters (Å, degrees): 5.0589 5.0589 5.0589 90.00 90.00 90.00
Fractional positions:
Na (0.0000, 0.0000, 0.0000)
As (0.0000, 0.5000, 0.0000)
As (0.0000, 0.0000, 0.5000)
As (0.5000, 0.0000, 0.0000)
Ga (0.5000, 0.5000, 0.5000)

---

First-principles (PBE) data for a relaxed structure of Na2GaAs2, as listed in Alexandria.

## Properties
Relative energy among the computed polymorphs ... 0.095 eV/atom
Final energy ... -32.655 eV for the cell shown
Formation energy from the elements ... -0.273 eV/atom
Space group ... P4/mbm

Lattice parameters (Å, degrees): 6.9724 6.9724 4.7443 90.00 90.00 90.00
Fractional positions:
Na (0.1717, 0.6717, 0.5000)
Na (0.6717, 0.8283, 0.5000)
Na (0.8283, 0.3283, 0.5000)
Na (0.3283, 0.1717, 0.5000)
As (0.3682, 0.8682, 0.0000)
As (0.8682, 0.6318, 0.0000)
As (0.6318, 0.1318, 0.0000)
As (0.1318, 0.3682, 0.0000)
Ga (0.0000, 0.0000, 0.0000)
Ga (0.5000, 0.5000, 0.0000)

---

First-principles (PBE) data for a relaxed structure of NaGa2As, as listed in Alexandria.

## Properties
Final energy ... -12.065 eV for the cell shown
Formation energy from the elements ... -0.011 eV/atom
Space group ... R-3m

Lattice parameters (Å, degrees): 3.9130 3.9130 9.0140 77.46 77.46 60.00
Fractional positions:
Na (0.0000, 0.0000, 0.0000)
As (0.5000, 0.5000, 0.5000)
Ga (0.1132, 0.1132, 0.6603)
Ga (0.8868, 0.8868, 0.3397)

---

First-principles (PBE) data for a relaxed structure of Na5GaAs3, as listed in Alexandria.

## Properties
Final energy ... -52.517 eV for the cell shown
Formation energy from the elements ... -0.299 eV/atom
Space group ... C2/c

Lattice parameters (Å, degrees): 6.7255 8.2902 9.7482 107.06 90.00 113.93
Fractional positions:
Na (0.2419, 0.0000, 0.7500)
Na (0.5887, 0.6736, 0.9305)
Na (0.9100, 0.3330, 0.0934)
Na (0.4113, 0.3264, 0.0695)
Na (0.5770, 0.6670, 0.4066)
Na (0.7581, 0.0000, 0.2500)
Na (0.0849, 0.6736, 0.4305)
Na (0.9151, 0.3264, 0.5695)
Na (0.4230, 0.3330, 0.5934)
Na (0.0900, 0.6670, 0.9066)
Ga (0.7338, 0.0000, 0.7500)
Ga (0.2662, 0.0000, 0.2500)
As (0.0000, 0.0000, 0.0000)
As (0.6045, 0.2998, 0.3222)
As (0.0000, 0.0000, 0.5000)
As (0.3955, 0.7002, 0.6778)
As (0.6953, 0.2998, 0.8222)
As (0.3047, 0.7002, 0.1778)

---

First-principles (PBE) data for a relaxed structure of NaGa2As2, as listed in Alexandria.

## Properties
Relative energy among the computed polymorphs ... 0.167 eV/atom
Final energy ... -33.982 eV for the cell shown
Formation energy from the elements ... -0.064 eV/atom
Space group ... P4/mbm

Lattice parameters (Å, degrees): 7.6142 7.6142 3.6068 90.00 90.00 90.00
Fractional positions:
Na (0.0000, 0.0000, 0.0000)
Na (0.5000, 0.5000, 0.0000)
As (0.3561, 0.8561, 0.0000)
As (0.8561, 0.6439, 0.0000)
As (0.6439, 0.1439, 0.0000)
As (0.1439, 0.3561, 0.0000)
Ga (0.1415, 0.6415, 0.5000)
Ga (0.6415, 0.8585, 0.5000)
Ga (0.8585, 0.3585, 0.5000)
Ga (0.3585, 0.1415, 0.5000)

---

First-principles (PBE) data for a relaxed structure of NaGa2As2, as listed in Alexandria.

## Properties
Relative energy among the computed polymorphs ... 0.000 eV/atom
Final energy ... -17.828 eV for the cell shown
Formation energy from the elements ... -0.231 eV/atom
Space group ... I4/mmm

Lattice parameters (Å, degrees): 4.3264 4.3264 7.3389 72.86 72.86 90.00
Fractional positions:
Na (0.0000, 0.0000, 0.0000)
As (0.3607, 0.3607, 0.2786)
As (0.6393, 0.6393, 0.7214)
Ga (0.7500, 0.2500, 0.5000)
Ga (0.2500, 0.7500, 0.5000)

---

First-principles (PBE) data for a relaxed structure of Na3Ga2As2, as listed in Alexandria.

## Properties
Final energy ... -86.085 eV for the cell shown
Formation energy from the elements ... -0.316 eV/atom
Space group ... Pbcm

Lattice parameters (Å, degrees): 6.9388 7.4812 12.8848 90.00 90.00 90.00
Fractional positions:
Na (0.0565, 0.5642, 0.1201)
Na (0.9435, 0.4358, 0.6201)
Na (0.9435, 0.0642, 0.3799)
Na (0.0565, 0.9358, 0.8799)
Na (0.9435, 0.4358, 0.8799)
Na (0.0565, 0.5642, 0.3799)
Na (0.0565, 0.9358, 0.6201)
Na (0.9435, 0.0642, 0.1201)
Na (0.3788, 0.2134, 0.2500)
Na (0.6212, 0.7866, 0.7500)
Na (0.6212, 0.7134, 0.2500)
Na (0.3788, 0.2866, 0.7500)
Ga (0.6525, 0.3912, 0.0602)
Ga (0.3475, 0.6088, 0.5602)
Ga (0.3475, 0.8912, 0.4398)
Ga (0.6525, 0.1088, 0.9398)
Ga (0.3475, 0.6088, 0.9398)
Ga (0.6525, 0.3912, 0.4398)
Ga (0.6525, 0.1088, 0.5602)
Ga (0.3475, 0.8912, 0.0602)
As (0.3099, 0.2500, 0.0000)
As (0.6901, 0.7500, 0.5000)
As (0.6901, 0.7500, 0.0000)
As (0.3099, 0.2500, 0.5000)
As (0.7722, 0.3486, 0.2500)
As (0.2278, 0.6514, 0.7500)
As (0.2278, 0.8486, 0.2500)
As (0.7722, 0.1514, 0.7500)

---

First-principles (PBE) data for a relaxed structure of NaGaAs3, as listed in Alexandria.

## Properties
Relative energy among the computed polymorphs ... 0.000 eV/atom
Final energy ... -16.414 eV for the cell shown
Formation energy from the elements ... 0.376 eV/atom
Space group ... Pm-3m

Lattice parameters (Å, degrees): 5.0247 5.0247 5.0247 90.00 90.00 90.00
Fractional positions:
Na (0.5000, 0.5000, 0.5000)
As (0.0000, 0.5000, 0.0000)
As (0.0000, 0.0000, 0.5000)
As (0.5000, 0.0000, 0.0000)
Ga (0.0000, 0.0000, 0.0000)

---

First-principles (PBE) data for a relaxed structure of Na2GaAs, as listed in Alexandria.

## Properties
Relative energy among the computed polymorphs ... 0.223 eV/atom
Final energy ... -20.286 eV for the cell shown
Formation energy from the elements ... 0.043 eV/atom
Space group ... I-42d

Lattice parameters (Å, degrees): 4.2370 4.2370 10.7332 78.62 78.62 90.00
Fractional positions:
Na (0.6361, 0.1250, 0.2500)
Na (0.1139, 0.6250, 0.2500)
Na (0.3750, 0.3639, 0.7500)
Na (0.8750, 0.8861, 0.7500)
As (0.0000, 0.0000, 0.0000)
As (0.7500, 0.2500, 0.5000)
Ga (0.5000, 0.5000, 0.0000)
Ga (0.2500, 0.7500, 0.5000)

---

First-principles (PBE) data for a relaxed structure of NaGa2As2, as listed in Alexandria.

## Properties
Relative energy among the computed polymorphs ... 0.174 eV/atom
Final energy ... -33.912 eV for the cell shown
Formation energy from the elements ... -0.057 eV/atom
Space group ... P4/mbm

Lattice parameters (Å, degrees): 7.5910 7.5910 3.5425 90.00 90.00 90.00
Fractional positions:
Na (0.0000, 0.0000, 0.0000)
Na (0.5000, 0.5000, 0.0000)
As (0.1589, 0.6589, 0.5000)
As (0.6589, 0.8411, 0.5000)
As (0.8411, 0.3411, 0.5000)
As (0.3411, 0.1589, 0.5000)
Ga (0.3692, 0.8692, 0.0000)
Ga (0.8692, 0.6308, 0.0000)
Ga (0.6308, 0.1308, 0.0000)
Ga (0.1308, 0.3692, 0.0000)

---

First-principles (PBE) data for a relaxed structure of NaGa2As2, as listed in Alexandria.

## Properties
Relative energy among the computed polymorphs ... 0.126 eV/atom
Final energy ... -34.392 eV for the cell shown
Formation energy from the elements ... -0.105 eV/atom
Space group ... C2/m

Lattice parameters (Å, degrees): 6.3394 6.8702 7.3969 118.77 116.54 87.75
Fractional positions:
Na (0.2284, 0.7284, 0.9567)
Na (0.7716, 0.2716, 0.0433)
Ga (0.4424, 0.2121, 0.5000)
Ga (0.1379, 0.1379, 0.7759)
Ga (0.5576, 0.7879, 0.5000)
Ga (0.8620, 0.8620, 0.2241)
As (0.6522, 0.6522, 0.8044)
As (0.9575, 0.7290, 0.5000)
As (0.0425, 0.2710, 0.5000)
As (0.3478, 0.3478, 0.1956)

---

First-principles (PBE) data for a relaxed structure of NaGa2As2, as listed in Alexandria.

## Properties
Relative energy among the computed polymorphs ... 0.053 eV/atom
Final energy ... -17.561 eV for the cell shown
Formation energy from the elements ... -0.178 eV/atom
Space group ... I4/mmm

Lattice parameters (Å, degrees): 4.8043 4.8043 5.8348 65.69 65.69 90.00
Fractional positions:
Na (0.0000, 0.0000, 0.0000)
As (0.7500, 0.2500, 0.5000)
As (0.2500, 0.7500, 0.5000)
Ga (0.3685, 0.3685, 0.2629)
Ga (0.6315, 0.6315, 0.7371)